The following is a PBE calculation of SrMgIr2 after structural relaxation, from Alexandria via LeMat-Bulk.

```
4
Lattice="5.3038 0.0020 0.0000 1.9954 4.9141 0.0000 -3.6496 -2.4580 2.9612" Properties=species:S:1:pos:R:3 pbc="T T T"
Ir 0.0000 0.0000 0.0000
Ir 0.9977 2.4570 1.4806
Mg 3.6496 2.4580 0.0000
Sr 2.6519 0.0010 1.4806
```

Properties
space group: I-4m2, No. 119
energy: -19.83 eV per formula unit
crystal system: tetragonal
calculated formation energy: 0.291 eV/atom
magnetization: 0.00 μB/atom